Entry 1:
## ZnNi2Ag (PBE)

Data for a relaxed structure of ZnNi2Ag.

a = 4.219 Å, b = 4.219 Å, c = 4.219 Å
α = 60.00°, β = 60.00°, γ = 60.00°
Positions (direct):
Ag (0.500, 0.500, 0.500)
Ni (0.000, 0.000, 0.000)
Ni (0.250, 0.250, 0.250)
Zn (0.750, 0.750, 0.750)

Properties
Space-group type: F-43m, No. 216
Uncorrected energy (Ry/atom): -0.2822

Entry 2:
## Zn2NiAg (PBE)

Data for a relaxed structure of Zn2NiAg.

a = 6.382 Å, b = 4.473 Å, c = 2.896 Å
α = 90.04°, β = 62.95°, γ = 124.48°
Positions (direct):
Zn (0.000, 0.000, 0.000)
Zn (0.500, 0.000, 0.500)
Ni (0.500, 0.500, 0.000)
Ag (0.000, 0.500, 0.500)

Properties
Space-group type: Cmmm, No. 65
Uncorrected energy (Ry/atom): -0.2096

Entry 3:
## Zn2NiAg (PBE)

Data for a relaxed structure of Zn2NiAg.

a = 2.799 Å, b = 2.799 Å, c = 8.689 Å
α = 80.73°, β = 80.73°, γ = 60.00°
Positions (direct):
Zn (0.075, 0.075, 0.776)
Zn (0.258, 0.258, 0.225)
Ni (0.667, 0.667, 0.000)
Ag (0.500, 0.500, 0.500)

Properties
Space-group type: R3m, No. 160
Uncorrected energy (Ry/atom): -0.2096

Entry 4:
## Zn9Ni2Ag (PBE)

Data for a relaxed structure of Zn9Ni2Ag.

a = 3.892 Å, b = 3.892 Å, c = 11.087 Å
α = 90.00°, β = 90.00°, γ = 90.00°
Positions (direct):
Zn (0.500, 0.500, 0.340)
Zn (0.500, 0.500, 0.000)
Zn (0.500, 0.000, 0.183)
Zn (0.500, 0.000, 0.500)
Zn (0.000, 0.500, 0.183)
Zn (0.500, 0.500, 0.660)
Zn (0.000, 0.500, 0.817)
Zn (0.500, 0.000, 0.817)
Zn (0.000, 0.500, 0.500)
Ag (0.000, 0.000, 0.000)
Ni (0.000, 0.000, 0.341)
Ni (0.000, 0.000, 0.659)

Properties
Space-group type: P4/mmm, No. 123
Uncorrected energy (Ry/atom): -0.1658

Entry 5:
## Zn3NiAg (PBE)

Data for a relaxed structure of Zn3NiAg.

a = 4.797 Å, b = 4.797 Å, c = 4.797 Å
α = 90.00°, β = 90.00°, γ = 90.00°
Positions (direct):
Ni (0.500, 0.500, 0.500)
Zn (0.000, 0.500, 0.000)
Zn (0.500, 0.000, 0.000)
Zn (0.000, 0.000, 0.500)
Ag (0.000, 0.000, 0.000)

Properties
Energy above the lowest structure with this stoichiometry (meV/atom): 591.8
Space-group type: Pm-3m, No. 221
Uncorrected energy (Ry/atom): -0.1202

Entry 6:
## Zn2NiAg (PBE)

Data for a relaxed structure of Zn2NiAg.

a = 4.847 Å, b = 4.847 Å, c = 4.541 Å
α = 75.04°, β = 75.04°, γ = 33.79°
Positions (direct):
Zn (0.746, 0.746, 0.737)
Zn (0.992, 0.992, 0.032)
Ni (0.259, 0.259, 0.214)
Ag (0.504, 0.504, 0.517)

Properties
Space-group type: Cm, No. 8
Uncorrected energy (Ry/atom): -0.2082

Entry 7:
## ZnNi2Ag (PBE)

Data for a relaxed structure of ZnNi2Ag.

a = 4.432 Å, b = 4.432 Å, c = 2.788 Å
α = 90.00°, β = 90.00°, γ = 103.79°
Positions (direct):
Ag (0.000, 0.500, 0.500)
Zn (0.500, 0.000, 0.500)
Ni (0.000, 0.000, 0.000)
Ni (0.500, 0.500, 0.000)

Properties
Space-group type: Cmmm, No. 65
Uncorrected energy (Ry/atom): -0.2843

Entry 8:
## Zn2NiAg (PBE)

Data for a relaxed structure of Zn2NiAg.

a = 4.313 Å, b = 3.049 Å, c = 4.316 Å
α = 90.00°, β = 90.00°, γ = 90.00°
Positions (direct):
Ag (0.000, 0.625, 0.381)
Zn (0.000, 0.125, 0.879)
Zn (0.500, 0.125, 0.369)
Ni (0.500, 0.625, 0.871)

Properties
Space-group type: Pmm2, No. 25
Uncorrected energy (Ry/atom): -0.2093

Entry 9:
## ZnNi2Ag (PBE)

Data for a relaxed structure of ZnNi2Ag.

a = 2.745 Å, b = 2.745 Å, c = 7.092 Å
α = 90.00°, β = 90.00°, γ = 90.00°
Positions (direct):
Ni (0.500, 0.500, 0.242)
Ni (0.000, 0.000, 0.032)
Ag (0.500, 0.500, 0.760)
Zn (0.000, 0.000, 0.467)

Properties
Space-group type: P4mm, No. 99
Uncorrected energy (Ry/atom): -0.2864

Entry 10:
## ZnNi2Ag (PBE)

Data for a relaxed structure of ZnNi2Ag.

a = 5.051 Å, b = 5.051 Å, c = 5.051 Å
α = 147.51°, β = 128.94°, γ = 61.84°
Positions (direct):
Ag (0.250, 0.750, 0.500)
Zn (0.514, 0.514, 0.000)
Ni (0.752, 0.252, 0.500)
Ni (0.984, 0.984, 0.000)

Properties
Space-group type: Imm2, No. 44
Uncorrected energy (Ry/atom): -0.2833

Entry 11:
## Zn4Ni5Ag (PBE)

Data for a relaxed structure of Zn4Ni5Ag.

a = 2.753 Å, b = 2.753 Å, c = 16.542 Å
α = 90.00°, β = 90.00°, γ = 90.00°
Positions (direct):
Zn (0.000, 0.000, 0.791)
Zn (0.000, 0.000, 0.597)
Zn (0.000, 0.000, 0.403)
Zn (0.000, 0.000, 0.209)
Ni (0.500, 0.500, 0.115)
Ni (0.500, 0.500, 0.694)
Ni (0.500, 0.500, 0.306)
Ni (0.500, 0.500, 0.885)
Ni (0.500, 0.500, 0.500)
Ag (0.000, 0.000, 0.000)

Properties
Space-group type: P4/mmm, No. 123
Uncorrected energy (Ry/atom): -0.2812

Entry 12:
## ZrNiAg2 (PBE)

Data for a relaxed structure of ZrNiAg2.

a = 3.149 Å, b = 3.200 Å, c = 7.674 Å
α = 65.34°, β = 90.00°, γ = 90.00°
Positions (direct):
Zr (0.500, 0.791, 0.709)
Ni (0.000, 0.494, 0.505)
Ag (0.000, 0.988, 0.013)
Ag (0.500, 0.227, 0.273)

Properties
Energy above the lowest structure with this stoichiometry (meV/atom): 0.0
Space-group type: Pmm2, No. 25
Uncorrected energy (Ry/atom): -0.3735

Energy relative to the elements? In order: 82 -57 -56 -99 856 -38 53 -53 26 68 -140 -74 meV per atom.